Entry 1:
This record from Alexandria describes PmPrSmTm2 after structural relaxation. The functional is PBE.

Calculated values
magnetic moment = 0.000 μB per atom
SG = Cmcm (63)
DFT total energy = -4.314 eV/atom
energy relative to the elements = 325 meV/atom

POSCAR file:
```
PmPrSmTm2
1.0
3.228 -8.309 0.000
3.228 8.309 0.000
0.000 0.000 6.445
Pm Pr Sm Tm
2 2 2 4
direct
0.156 0.844 0.750
0.844 0.156 0.250
0.223 0.777 0.250
0.777 0.223 0.750
0.345 0.655 0.750
0.655 0.345 0.250
0.246 0.246 0.000
0.246 0.246 0.500
0.754 0.754 0.000
0.754 0.754 0.500
```

Entry 2:
This record from Alexandria describes PmPrSm5Tm2 after structural relaxation. The functional is PBE.

Calculated values
magnetic moment = 0.000 μB per atom
SG = Cmc2_1 (36)
DFT total energy = -4.520 eV/atom
energy relative to the elements = 155 meV/atom

POSCAR file:
```
PmPrSm5Tm2
1.0
2.841 -10.155 0.000
2.841 10.155 0.000
0.000 0.000 10.610
Pm Pr Sm Tm
2 2 10 4
direct
0.200 0.800 0.500
0.800 0.200 0.000
0.415 0.585 0.935
0.585 0.415 0.435
0.017 0.983 0.512
0.280 0.720 0.799
0.298 0.702 0.195
0.390 0.610 0.514
0.477 0.523 0.226
0.523 0.477 0.726
0.610 0.390 0.014
0.702 0.298 0.695
0.720 0.280 0.299
0.983 0.017 0.012
0.112 0.888 0.221
0.116 0.884 0.810
0.884 0.116 0.310
0.888 0.112 0.721
```

Entry 3:
This record from Alexandria describes Pm3Pr2SmTm6 after structural relaxation. The functional is PBE.

Calculated values
magnetic moment = 0.000 μB per atom
SG = C2/m (12)
DFT total energy = -4.597 eV/atom
energy relative to the elements = 17 meV/atom

POSCAR file:
```
Pm3Pr2SmTm6
1.0
3.108 -5.381 0.000
3.108 5.381 0.000
-2.065 0.000 11.537
Pm Pr Sm Tm
3 2 1 6
direct
0.000 0.000 0.000
0.333 0.667 0.000
0.667 0.333 0.000
0.167 0.833 0.500
0.833 0.167 0.500
0.500 0.500 0.500
0.083 0.416 0.249
0.251 0.251 0.751
0.416 0.083 0.249
0.584 0.917 0.751
0.749 0.749 0.249
0.917 0.584 0.751
```

Entry 4:
This record from Alexandria describes Pm2Pr4SmTm2 after structural relaxation. The functional is PBE.

Calculated values
magnetic moment = 0.000 μB per atom
SG = C2/m (12)
DFT total energy = -4.676 eV/atom
energy relative to the elements = 22 meV/atom

POSCAR file:
```
Pm2Pr4SmTm2
1.0
7.741 -2.579 0.000
7.741 2.579 0.000
-2.577 0.000 7.695
Pm Pr Sm Tm
2 4 1 2
direct
0.112 0.112 0.170
0.888 0.888 0.830
0.222 0.222 0.829
0.446 0.446 0.170
0.554 0.554 0.830
0.778 0.778 0.171
0.000 0.000 0.500
0.332 0.332 0.501
0.668 0.668 0.499
```

Entry 5:
This record from Alexandria describes Pm2PrSm6Tm3 after structural relaxation. The functional is PBE.

Calculated values
magnetic moment = 0.000 μB per atom
SG = C2/m (12)
DFT total energy = -4.648 eV/atom
energy relative to the elements = 19 meV/atom

POSCAR file:
```
Pm2PrSm6Tm3
1.0
3.126 -5.413 0.000
3.126 5.413 0.000
-2.080 0.000 11.728
Pm Pr Sm Tm
2 1 6 3
direct
0.167 0.833 0.000
0.833 0.167 0.000
0.500 0.500 0.000
0.081 0.415 0.745
0.252 0.252 0.255
0.415 0.081 0.745
0.585 0.919 0.255
0.748 0.748 0.745
0.919 0.585 0.255
0.000 0.000 0.500
0.333 0.667 0.500
0.667 0.333 0.500
```

Entry 6:
This record from Alexandria describes PmPr6Sm3Tm2 after structural relaxation. The functional is PBE.

Calculated values
magnetic moment = 0.000 μB per atom
SG = C2/m (12)
DFT total energy = -4.697 eV/atom
energy relative to the elements = 14 meV/atom

POSCAR file:
```
PmPr6Sm3Tm2
1.0
3.170 -5.492 0.000
3.170 5.492 0.000
-2.111 0.000 11.824
Pm Pr Sm Tm
1 6 3 2
direct
0.000 0.000 0.000
0.083 0.418 0.248
0.251 0.251 0.752
0.418 0.083 0.248
0.582 0.917 0.752
0.749 0.749 0.248
0.917 0.582 0.752
0.167 0.833 0.500
0.500 0.500 0.500
0.833 0.167 0.500
0.333 0.667 0.000
0.667 0.333 0.000
```

Entry 7:
This record from Alexandria describes Pm3Pr6SmTm2 after structural relaxation. The functional is PBE.

Calculated values
magnetic moment = 0.000 μB per atom
SG = C2/m (12)
DFT total energy = -4.701 eV/atom
energy relative to the elements = 15 meV/atom

POSCAR file:
```
Pm3Pr6SmTm2
1.0
3.173 -5.497 0.000
3.173 5.497 0.000
-2.114 0.000 11.841
Pm Pr Sm Tm
3 6 1 2
direct
0.000 0.000 0.000
0.333 0.667 0.000
0.667 0.333 0.000
0.083 0.417 0.253
0.249 0.249 0.747
0.417 0.083 0.253
0.583 0.917 0.747
0.751 0.751 0.253
0.917 0.583 0.747
0.500 0.500 0.500
0.167 0.833 0.500
0.833 0.167 0.500
```

Entry 8:
This record from Alexandria describes PmPrSm6Tm2 after structural relaxation. The functional is PBE.

Calculated values
magnetic moment = 0.000 μB per atom
SG = C2/c (15)
DFT total energy = -4.561 eV/atom
energy relative to the elements = 117 meV/atom

POSCAR file:
```
PmPrSm6Tm2
1.0
4.664 -7.556 0.000
4.664 7.556 0.000
-1.169 0.000 9.567
Pm Pr Sm Tm
2 2 12 4
direct
0.034 0.966 0.750
0.966 0.034 0.250
0.407 0.593 0.250
0.593 0.407 0.750
0.015 0.560 0.680
0.109 0.758 0.056
0.242 0.891 0.444
0.296 0.517 0.882
0.440 0.985 0.820
0.483 0.704 0.618
0.517 0.296 0.382
0.560 0.015 0.180
0.704 0.483 0.118
0.758 0.109 0.556
0.891 0.242 0.944
0.985 0.440 0.320
0.199 0.296 0.550
0.296 0.199 0.050
0.704 0.801 0.950
0.801 0.704 0.450
```

Entry 9:
This record from Alexandria describes PmPr2SmTm5 after structural relaxation. The functional is PBE.

Calculated values
magnetic moment = 0.000 μB per atom
SG = I4/mcm (140)
DFT total energy = -4.343 eV/atom
energy relative to the elements = 255 meV/atom

POSCAR file:
```
PmPr2SmTm5
1.0
-4.336 4.336 7.767
4.336 -4.336 7.767
4.336 4.336 -7.767
Pm Pr Sm Tm
2 4 2 10
direct
0.250 0.250 0.000
0.750 0.750 0.000
0.118 0.618 0.736
0.382 0.118 0.500
0.618 0.882 0.500
0.882 0.382 0.264
0.250 0.750 0.500
0.750 0.250 0.500
0.000 0.000 0.000
0.072 0.150 0.500
0.150 0.650 0.078
0.350 0.428 0.500
0.428 0.928 0.078
0.500 0.500 0.000
0.572 0.072 0.922
0.650 0.572 0.500
0.850 0.350 0.922
0.928 0.850 0.500
```

Entry 10:
This record from Alexandria describes PmPr4Sm2Tm2 after structural relaxation. The functional is PBE.

Calculated values
magnetic moment = 0.000 μB per atom
SG = C2/m (12)
DFT total energy = -4.673 eV/atom
energy relative to the elements = 21 meV/atom

POSCAR file:
```
PmPr4Sm2Tm2
1.0
7.731 -2.575 0.000
7.731 2.575 0.000
-2.569 0.000 7.698
Pm Pr Sm Tm
1 4 2 2
direct
0.000 0.000 0.000
0.223 0.223 0.329
0.446 0.446 0.670
0.554 0.554 0.330
0.777 0.777 0.671
0.112 0.112 0.669
0.888 0.888 0.331
0.332 0.332 0.001
0.668 0.668 0.999
```

Entry 11:
This record from Alexandria describes PmPr4SmTm2 after structural relaxation. The functional is PBE.

Calculated values
magnetic moment = 0.000 μB per atom
SG = P2/m (10)
DFT total energy = -4.676 eV/atom
energy relative to the elements = 16 meV/atom

POSCAR file:
```
PmPr4SmTm2
1.0
5.162 0.000 0.000
0.000 5.189 0.000
-0.009 0.000 10.162
Pm Pr Sm Tm
1 4 1 2
direct
0.000 0.000 0.000
0.000 0.500 0.250
0.000 0.500 0.750
0.500 0.000 0.251
0.500 0.000 0.749
0.500 0.500 0.500
0.000 0.000 0.500
0.500 0.500 0.000
```

Entry 12:
This record from Alexandria describes PmPr2SmTm4 after structural relaxation. The functional is PBE.

Calculated values
magnetic moment = 0.000 μB per atom
SG = Pmmm (47)
DFT total energy = -4.593 eV/atom
energy relative to the elements = 21 meV/atom

POSCAR file:
```
PmPr2SmTm4
1.0
5.108 0.000 0.000
0.000 5.127 0.000
0.000 0.000 9.912
Pm Pr Sm Tm
1 2 1 4
direct
0.000 0.000 0.000
0.000 0.000 0.500
0.500 0.500 0.000
0.500 0.500 0.500
0.000 0.500 0.250
0.000 0.500 0.750
0.500 0.000 0.250
0.500 0.000 0.750
```

Entry 13:
This record from Alexandria describes Pm2PrSm3Tm6 after structural relaxation. The functional is PBE.

Calculated values
magnetic moment = 0.000 μB per atom
SG = C2/m (12)
DFT total energy = -4.589 eV/atom
energy relative to the elements = 17 meV/atom

POSCAR file:
```
Pm2PrSm3Tm6
1.0
3.100 -5.366 0.000
3.100 5.366 0.000
-2.056 0.000 11.519
Pm Pr Sm Tm
2 1 3 6
direct
0.167 0.833 0.000
0.833 0.167 0.000
0.500 0.500 0.000
0.000 0.000 0.500
0.333 0.667 0.500
0.667 0.333 0.500
0.082 0.416 0.749
0.250 0.250 0.251
0.416 0.082 0.749
0.584 0.918 0.251
0.750 0.750 0.749
0.918 0.584 0.251
```

Entry 14:
This record from Alexandria describes PmPr6Sm2Tm after structural relaxation. The functional is PBE.

Calculated values
magnetic moment = 0.000 μB per atom
SG = C2/c (15)
DFT total energy = -4.622 eV/atom
energy relative to the elements = 112 meV/atom

POSCAR file:
```
PmPr6Sm2Tm
1.0
4.669 -7.743 0.000
4.669 7.743 0.000
-1.354 0.000 9.740
Pm Pr Sm Tm
2 12 4 2
direct
0.022 0.978 0.750
0.978 0.022 0.250
0.009 0.568 0.690
0.119 0.756 0.054
0.244 0.881 0.446
0.294 0.507 0.882
0.432 0.991 0.810
0.493 0.706 0.618
0.507 0.294 0.382
0.568 0.009 0.190
0.706 0.493 0.118
0.756 0.119 0.554
0.881 0.244 0.946
0.991 0.432 0.310
0.200 0.298 0.545
0.298 0.200 0.045
0.702 0.800 0.955
0.800 0.702 0.455
0.411 0.589 0.250
0.589 0.411 0.750
```

Entry 15:
This record from Alexandria describes PmPr5SmTm2 after structural relaxation. The functional is PBE.

Calculated values
magnetic moment = 0.000 μB per atom
SG = Cmc2_1 (36)
DFT total energy = -4.555 eV/atom
energy relative to the elements = 146 meV/atom

POSCAR file:
```
PmPr5SmTm2
1.0
2.858 -10.294 0.000
2.858 10.294 0.000
0.000 0.000 10.757
Pm Pr Sm Tm
2 10 2 4
direct
0.199 0.801 0.500
0.801 0.199 0.000
0.016 0.984 0.511
0.281 0.719 0.801
0.295 0.705 0.193
0.389 0.611 0.516
0.479 0.521 0.232
0.521 0.479 0.732
0.611 0.389 0.016
0.705 0.295 0.693
0.719 0.281 0.301
0.984 0.016 0.011
0.411 0.589 0.943
0.589 0.411 0.443
0.111 0.889 0.228
0.117 0.883 0.808
0.883 0.117 0.308
0.889 0.111 0.728
```

Entry 16:
This record from Alexandria describes Pm6Pr2SmTm after structural relaxation. The functional is PBE.

Calculated values
magnetic moment = 0.000 μB per atom
SG = C2/c (15)
DFT total energy = -4.612 eV/atom
energy relative to the elements = 114 meV/atom

POSCAR file:
```
Pm6Pr2SmTm
1.0
4.612 -7.671 0.000
4.612 7.671 0.000
-1.473 0.000 9.765
Pm Pr Sm Tm
12 4 2 2
direct
0.015 0.573 0.189
0.122 0.748 0.556
0.252 0.878 0.944
0.294 0.504 0.381
0.427 0.985 0.311
0.496 0.706 0.119
0.504 0.294 0.881
0.573 0.015 0.689
0.706 0.496 0.619
0.748 0.122 0.056
0.878 0.252 0.444
0.985 0.427 0.811
0.196 0.297 0.042
0.297 0.196 0.542
0.703 0.804 0.458
0.804 0.703 0.958
0.018 0.982 0.250
0.982 0.018 0.750
0.408 0.592 0.750
0.592 0.408 0.250
```

Entry 17:
This record from Alexandria describes PmPrSm3Tm after structural relaxation. The functional is PBE.

Calculated values
magnetic moment = 0.000 μB per atom
SG = Cmcm (63)
DFT total energy = -4.675 eV/atom
energy relative to the elements = 18 meV/atom

POSCAR file:
```
PmPrSm3Tm
1.0
2.558 -7.701 0.000
2.558 7.701 0.000
0.000 0.000 10.239
Pm Pr Sm Tm
2 2 6 2
direct
0.001 0.999 0.750
0.999 0.001 0.250
0.500 0.500 0.000
0.500 0.500 0.500
0.168 0.832 0.000
0.168 0.832 0.500
0.332 0.668 0.750
0.668 0.332 0.250
0.832 0.168 0.000
0.832 0.168 0.500
0.333 0.667 0.250
0.667 0.333 0.750
```

Entry 18:
This record from Alexandria describes Pm6Pr2SmTm3 after structural relaxation. The functional is PBE.

Calculated values
magnetic moment = 0.000 μB per atom
SG = C2/m (12)
DFT total energy = -4.664 eV/atom
energy relative to the elements = 19 meV/atom

POSCAR file:
```
Pm6Pr2SmTm3
1.0
3.139 -5.438 0.000
3.139 5.438 0.000
-2.090 0.000 11.762
Pm Pr Sm Tm
6 2 1 3
direct
0.085 0.418 0.756
0.248 0.248 0.244
0.418 0.085 0.756
0.582 0.915 0.244
0.752 0.752 0.756
0.915 0.582 0.244
0.333 0.667 0.500
0.667 0.333 0.500
0.000 0.000 0.500
0.167 0.833 0.000
0.500 0.500 0.000
0.833 0.167 0.000
```

Entry 19:
This record from Alexandria describes PmPr2Sm6Tm after structural relaxation. The functional is PBE.

Calculated values
magnetic moment = 0.000 μB per atom
SG = C2/c (15)
DFT total energy = -4.595 eV/atom
energy relative to the elements = 115 meV/atom

POSCAR file:
```
PmPr2Sm6Tm
1.0
4.598 -7.644 0.000
4.598 7.644 0.000
-1.477 0.000 9.748
Pm Pr Sm Tm
2 4 12 2
direct
0.018 0.982 0.750
0.982 0.018 0.250
0.197 0.297 0.542
0.297 0.197 0.042
0.703 0.803 0.958
0.803 0.703 0.458
0.016 0.573 0.689
0.122 0.745 0.056
0.255 0.878 0.444
0.294 0.505 0.881
0.427 0.984 0.811
0.495 0.706 0.619
0.505 0.294 0.381
0.573 0.016 0.189
0.706 0.495 0.119
0.745 0.122 0.556
0.878 0.255 0.944
0.984 0.427 0.311
0.408 0.592 0.250
0.592 0.408 0.750
```